# 1
DFT (PBE with a Hubbard U) results for a relaxed structure of Mg6CoO8.

Values from the calculation:
Electronic total energy: -0.436 Ry per atom
Crystal system: cubic
SG: Fm-3m (225)

a = 5.9574 Å, b = 5.9574 Å, c = 5.9574 Å
α = 60.00°, β = 60.00°, γ = 60.00°
Closest atoms and distances in Å follow each position.
Atoms (fractional coordinates):
Mg: 0.0000 0.0000 0.5000  6 O 2.11
Mg: 0.0000 0.5000 0.0000  6 O 2.11
Mg: 0.0000 0.5000 0.5000  6 O 2.11
Mg: 0.5000 0.0000 0.0000  6 O 2.11
Mg: 0.5000 0.0000 0.5000  6 O 2.11
Mg: 0.5000 0.5000 0.0000  6 O 2.11
Co: 0.0000 0.0000 0.0000  6 O 1.92
O: 0.2277 0.2277 0.7723  1 Co 1.92, 4 Mg 2.11
O: 0.2277 0.7723 0.2277  1 Co 1.92, 4 Mg 2.11
O: 0.2277 0.7723 0.7723  1 Co 1.92, 4 Mg 2.11
O: 0.2500 0.2500 0.2500  6 Mg 2.11
O: 0.7500 0.7500 0.7500  6 Mg 2.11
O: 0.7723 0.2277 0.2277  1 Co 1.92, 4 Mg 2.11
O: 0.7723 0.2277 0.7723  1 Co 1.92, 4 Mg 2.11
O: 0.7723 0.7723 0.2277  1 Co 1.92, 4 Mg 2.11

---

# 2
DFT (PBE with a Hubbard U) results for a relaxed structure of Mg5Co3O12.

Values from the calculation:
Electronic total energy: -0.392 Ry per atom
Crystal system: cubic
SG: Ia-3d (230)

a = 10.4277 Å, b = 10.4277 Å, c = 10.4277 Å
α = 109.47°, β = 109.47°, γ = 109.47°
Closest atoms and distances in Å follow each position.
Atoms (fractional coordinates):
Mg: 0.0000 0.0000 0.0000  6 O 2.09
Mg: 0.0000 0.0000 0.5000  6 O 2.09
Mg: 0.0000 0.5000 0.0000  6 O 2.09
Mg: 0.0000 0.5000 0.5000  6 O 2.09
Mg: 0.1250 0.7500 0.8750  4 O 1.98
Mg: 0.1250 0.8750 0.2500  4 O 1.98
Mg: 0.2500 0.1250 0.8750  4 O 1.98
Mg: 0.2500 0.6250 0.3750  4 O 1.98
Mg: 0.3750 0.2500 0.6250  4 O 1.98
Mg: 0.3750 0.6250 0.7500  4 O 1.98
Mg: 0.5000 0.0000 0.0000  6 O 2.09
Mg: 0.5000 0.0000 0.5000  6 O 2.09
Mg: 0.5000 0.5000 0.0000  6 O 2.09
Mg: 0.5000 0.5000 0.5000  6 O 2.09
Mg: 0.6250 0.3750 0.2500  4 O 1.98
Mg: 0.6250 0.7500 0.3750  4 O 1.98
Mg: 0.7500 0.3750 0.6250  4 O 1.98
Mg: 0.7500 0.8750 0.1250  4 O 1.98
Mg: 0.8750 0.1250 0.7500  4 O 1.98
Mg: 0.8750 0.2500 0.1250  4 O 1.98
Co: 0.1250 0.2500 0.3750  4 O 2.01
Co: 0.1250 0.3750 0.7500  4 O 2.01
Co: 0.2500 0.3750 0.1250  4 O 2.01
Co: 0.2500 0.8750 0.6250  4 O 2.01
Co: 0.3750 0.1250 0.2500  4 O 2.01
Co: 0.3750 0.7500 0.1250  4 O 2.01
Co: 0.6250 0.2500 0.8750  4 O 2.01
Co: 0.6250 0.8750 0.7500  4 O 2.01
Co: 0.7500 0.1250 0.3750  4 O 2.01
Co: 0.7500 0.6250 0.8750  4 O 2.01
Co: 0.8750 0.6250 0.2500  4 O 2.01
Co: 0.8750 0.7500 0.6250  4 O 2.01
O: 0.0546 0.2340 0.1129  2 Mg 1.98-2.09, 1 Co 2.01
O: 0.0546 0.3206 0.9417  2 Mg 1.98-2.09, 1 Co 2.01
O: 0.0583 0.6129 0.3789  2 Mg 1.98-2.09, 1 Co 2.01
O: 0.0583 0.9454 0.6794  2 Mg 1.98-2.09, 1 Co 2.01
O: 0.1129 0.0546 0.2340  2 Mg 1.98-2.09, 1 Co 2.01
O: 0.1129 0.5583 0.8789  2 Mg 1.98-2.09, 1 Co 2.01
O: 0.1211 0.7340 0.6794  2 Mg 1.98-2.09, 1 Co 2.01
O: 0.1211 0.8871 0.4417  2 Mg 1.98-2.09, 1 Co 2.01
O: 0.1794 0.2340 0.6211  2 Mg 1.98-2.09, 1 Co 2.01
O: 0.1794 0.4454 0.5583  2 Mg 1.98-2.09, 1 Co 2.01
O: 0.2340 0.1129 0.0546  2 Mg 1.98-2.09, 1 Co 2.01
O: 0.2340 0.6211 0.1794  2 Mg 1.98-2.09, 1 Co 2.01
O: 0.2660 0.3206 0.8789  2 Mg 1.98-2.09, 1 Co 2.01
O: 0.2660 0.4454 0.3871  2 Mg 1.98-2.09, 1 Co 2.01
O: 0.3206 0.8789 0.2660  2 Mg 1.98-2.09, 1 Co 2.01
O: 0.3206 0.9417 0.0546  2 Mg 1.98-2.09, 1 Co 2.01
O: 0.3789 0.0583 0.6129  2 Mg 1.98-2.09, 1 Co 2.01
O: 0.3789 0.8206 0.7660  2 Mg 1.98-2.09, 1 Co 2.01
O: 0.3871 0.2660 0.4454  2 Mg 1.98-2.09, 1 Co 2.01
O: 0.3871 0.6211 0.9417  2 Mg 1.98-2.09, 1 Co 2.01
O: 0.4417 0.1211 0.8871  2 Mg 1.98-2.09, 1 Co 2.01
O: 0.4417 0.8206 0.5546  2 Mg 1.98-2.09, 1 Co 2.01
O: 0.4454 0.3871 0.2660  2 Mg 1.98-2.09, 1 Co 2.01
O: 0.4454 0.5583 0.1794  2 Mg 1.98-2.09, 1 Co 2.01
O: 0.5546 0.4417 0.8206  2 Mg 1.98-2.09, 1 Co 2.01
O: 0.5546 0.6129 0.7340  2 Mg 1.98-2.09, 1 Co 2.01
O: 0.5583 0.1794 0.4454  2 Mg 1.98-2.09, 1 Co 2.01
O: 0.5583 0.8789 0.1129  2 Mg 1.98-2.09, 1 Co 2.01
O: 0.6129 0.3789 0.0583  2 Mg 1.98-2.09, 1 Co 2.01
O: 0.6129 0.7340 0.5546  2 Mg 1.98-2.09, 1 Co 2.01
O: 0.6211 0.1794 0.2340  2 Mg 1.98-2.09, 1 Co 2.01
O: 0.6211 0.9417 0.3871  2 Mg 1.98-2.09, 1 Co 2.01
O: 0.6794 0.0583 0.9454  2 Mg 1.98-2.09, 1 Co 2.01
O: 0.6794 0.1211 0.7340  2 Mg 1.98-2.09, 1 Co 2.01
O: 0.7340 0.5546 0.6129  2 Mg 1.98-2.09, 1 Co 2.01
O: 0.7340 0.6794 0.1211  2 Mg 1.98-2.09, 1 Co 2.01
O: 0.7660 0.3789 0.8206  2 Mg 1.98-2.09, 1 Co 2.01
O: 0.7660 0.8871 0.9454  2 Mg 1.98-2.09, 1 Co 2.01
O: 0.8206 0.5546 0.4417  2 Mg 1.98-2.09, 1 Co 2.01
O: 0.8206 0.7660 0.3789  2 Mg 1.98-2.09, 1 Co 2.01
O: 0.8789 0.1129 0.5583  2 Mg 1.98-2.09, 1 Co 2.01
O: 0.8789 0.2660 0.3206  2 Mg 1.98-2.09, 1 Co 2.01
O: 0.8871 0.4417 0.1211  2 Mg 1.98-2.09, 1 Co 2.01
O: 0.8871 0.9454 0.7660  2 Mg 1.98-2.09, 1 Co 2.01
O: 0.9417 0.0546 0.3206  2 Mg 1.98-2.09, 1 Co 2.01
O: 0.9417 0.3871 0.6211  2 Mg 1.98-2.09, 1 Co 2.01
O: 0.9454 0.6794 0.0583  2 Mg 1.98-2.09, 1 Co 2.01
O: 0.9454 0.7660 0.8871  2 Mg 1.98-2.09, 1 Co 2.01

---

# 3
DFT (PBE with a Hubbard U) results for a relaxed structure of Mg3CoO.

Values from the calculation:
Crystal system: cubic
Relative energy among the computed polymorphs: 0 meV/atom
SG: Pm-3m (221)

a = 4.2266 Å, b = 4.2266 Å, c = 4.2266 Å
α = 90.00°, β = 90.00°, γ = 90.00°
Closest atoms and distances in Å follow each position.
Atoms (fractional coordinates):
Mg: 0.0000 0.0000 0.5000  2 O 2.11
Mg: 0.0000 0.5000 0.0000  2 O 2.11
Mg: 0.5000 0.0000 0.0000  2 O 2.11
Co: 0.5000 0.5000 0.5000  12 Mg 2.99
O: 0.0000 0.0000 0.0000  6 Mg 2.11

---

# 4
DFT (PBE with a Hubbard U) results for a relaxed structure of MgCoO3.

Values from the calculation:
Electronic total energy: -0.422 Ry per atom
Crystal system: monoclinic
SG: C2/c (15)

a = 6.3850 Å, b = 6.3850 Å, c = 4.9686 Å
α = 93.46°, β = 93.46°, γ = 83.27°
Closest atoms and distances in Å follow each position.
Atoms (fractional coordinates):
Mg: 0.1064 0.3278 0.2774  4 O 1.99-2.09
Mg: 0.3278 0.1064 0.7774  4 O 1.99-2.09
Mg: 0.6722 0.8936 0.2226  4 O 1.99-2.09
Mg: 0.8936 0.6722 0.7226  4 O 1.99-2.09
Co: 0.2326 0.7674 0.2500  4 O 1.77-1.88
Co: 0.4182 0.5818 0.7500  6 O 1.88-1.93
Co: 0.5818 0.4182 0.2500  6 O 1.88-1.93
Co: 0.7674 0.2326 0.7500  4 O 1.77-1.88
O: 0.0283 0.2252 0.8950  1 Co 1.77
O: 0.1632 0.6144 0.5375  2 Co 1.88, 1 Mg 1.99
O: 0.2252 0.0283 0.3950  1 Co 1.77
O: 0.3129 0.4807 0.0685  3 Co 1.90-2.02, 1 Mg 2.09
O: 0.3856 0.8368 0.9625  2 Co 1.88, 1 Mg 1.99
O: 0.4807 0.3129 0.5685  3 Co 1.90-2.02, 1 Mg 2.09
O: 0.5193 0.6871 0.4315  3 Co 1.90-2.02, 1 Mg 2.09
O: 0.6144 0.1632 0.0375  2 Co 1.88, 1 Mg 1.99
O: 0.6871 0.5193 0.9315  3 Co 1.90-2.02, 1 Mg 2.09
O: 0.7748 0.9717 0.6050  1 Co 1.77
O: 0.8368 0.3856 0.4625  2 Co 1.88, 1 Mg 1.99
O: 0.9717 0.7748 0.1050  1 Co 1.77

---

# 5
DFT (PBE with a Hubbard U) results for a relaxed structure of Mg5CoO6.

Values from the calculation:
Electronic total energy: -0.441 Ry per atom
Crystal system: monoclinic
SG: C2/m (12)

a = 5.2183 Å, b = 5.2183 Å, c = 5.2191 Å
α = 99.61°, β = 99.61°, γ = 120.02°
Closest atoms and distances in Å follow each position.
Atoms (fractional coordinates):
Mg: 0.0000 0.0000 0.0000  6 O 2.11-2.13
Mg: 0.1675 0.8325 0.5000  6 O 2.12-2.14
Mg: 0.3350 0.6650 0.0000  6 O 2.12-2.13
Mg: 0.6650 0.3350 0.0000  6 O 2.12-2.13
Mg: 0.8325 0.1675 0.5000  6 O 2.12-2.14
Co: 0.5000 0.5000 0.5000  6 O 2.15-2.16
O: 0.0790 0.4159 0.2480  5 Mg 2.12-2.13, 1 Co 2.15
O: 0.2470 0.2470 0.7528  5 Mg 2.11-2.14, 1 Co 2.16
O: 0.4159 0.0790 0.2480  5 Mg 2.12-2.13, 1 Co 2.15
O: 0.5841 0.9210 0.7520  5 Mg 2.12-2.13, 1 Co 2.15
O: 0.7530 0.7530 0.2472  5 Mg 2.11-2.14, 1 Co 2.16
O: 0.9210 0.5841 0.7520  5 Mg 2.12-2.13, 1 Co 2.15

---

# 6
DFT (PBE with a Hubbard U) results for a relaxed structure of MgCoO2.

Values from the calculation:
Electronic total energy: -0.381 Ry per atom
Crystal system: trigonal
SG: R-3m (166)

a = 6.0774 Å, b = 6.0774 Å, c = 6.0774 Å
α = 27.96°, β = 27.96°, γ = 27.96°
Closest atoms and distances in Å follow each position.
Atoms (fractional coordinates):
Mg: 0.0000 0.0000 0.0000  2 O 1.95
Co: 0.5000 0.5000 0.5000  6 O 1.95
O: 0.1116 0.1116 0.1116  3 Co 1.95, 1 Mg 1.95
O: 0.8884 0.8884 0.8884  3 Co 1.95, 1 Mg 1.95

---

What size of the total moment values result from the calculations? In sequence: 0.07 0.85 0.28 0.20 0.25 0.00 μB/atom.